w) This record from the Alexandria database describes an optimized crystal structure of Nd3Ho3Er2. The functional is PBE.

```
data_Nd3Ho3Er2
_chemical_formula_sum 'Nd6 Ho6 Er4'
_symmetry_space_group_name_H-M 'I m m m'
_symmetry_Int_Tables_number 71
_symmetry_space_group_name_Hall '-I 2 2'
_cell_length_a 5.0549
_cell_length_b 5.0661
_cell_length_c 20.2476
_cell_angle_alpha 90.00
_cell_angle_beta 90.00
_cell_angle_gamma 90.00
loop_
_atom_site_label
_atom_site_type_symbol
_atom_site_fract_x
_atom_site_fract_y
_atom_site_fract_z
Nd1 Nd 0.0000 0.0000 0.0000
Nd2 Nd 0.0000 0.5000 0.1258
Ho1 Ho 0.0000 0.0000 0.5000
Ho2 Ho 0.0000 0.5000 0.3730
Er1 Er 0.0000 0.0000 0.2494
```

Properties
Mass density, kg/m³: 8083
Size of the total moment, μB/f.u.: 0.0

=====

x) This record from the Alexandria database describes an optimized crystal structure of Nd3Ho3Er2. The functional is PBE.

```
data_Nd3Ho3Er2
_chemical_formula_sum 'Nd6 Ho6 Er4'
_symmetry_space_group_name_H-M 'C 1 2/m 1'
_symmetry_Int_Tables_number 12
_cell_length_a 16.3253
_cell_length_b 5.7100
_cell_length_c 6.0062
_cell_angle_alpha 90.00
_cell_angle_beta 110.35
_cell_angle_gamma 90.00
loop_
_symmetry_equiv_pos_as_xyz
'x,y,z'
'-x,-y,-z'
'-x,y,-z'
'x,-y,z'
'x+1/2,y+1/2,z'
'-x+1/2,-y+1/2,-z'
'-x+1/2,y+1/2,-z'
'x+1/2,-y+1/2,z'
loop_
_atom_site_label
_atom_site_type_symbol
_atom_site_fract_x
_atom_site_fract_y
_atom_site_fract_z
Nd1 Nd 0.0000 0.0000 0.0000
Nd2 Nd 0.1352 0.0000 0.6985
Ho1 Ho 0.0000 0.5000 0.5000
Ho2 Ho 0.1331 0.5000 0.0810
Er1 Er 0.2499 0.0000 0.3186
```

Properties
Mass density, kg/m³: 7984
Size of the total moment, μB/f.u.: 0.0

=====

Ordering by calculated energy gives the sequence w), x), with the first entry being the most stable.

=====

w) This record from the Alexandria database describes an optimized crystal structure of NdHo5Er5. The functional is PBE.

```
data_NdHo5Er5
_chemical_formula_sum 'Nd1 Ho5 Er5'
_symmetry_space_group_name_H-M 'P -6 m 2'
_symmetry_Int_Tables_number 187
_symmetry_space_group_name_Hall 'P -6 2'
_cell_length_a 6.0386
_cell_length_b 6.0386
_cell_length_c 11.4627
_cell_angle_alpha 90.00
_cell_angle_beta 90.00
_cell_angle_gamma 120.00
loop_
_atom_site_label
_atom_site_type_symbol
_atom_site_fract_x
_atom_site_fract_y
_atom_site_fract_z
Nd1 Nd 0.0000 0.0000 0.0000
Ho1 Ho 0.0021 0.5011 0.5000
Ho2 Ho 0.6667 0.3333 0.2641
Er1 Er 0.0000 0.0000 0.3263
Er2 Er 0.3333 0.6667 0.1590
Er3 Er 0.6667 0.3333 0.0000
```

Properties
Mass density, kg/m³: 8281
Size of the total moment, μB/f.u.: 0.0

=====

x) This record from the Alexandria database describes an optimized crystal structure of NdHo5Er5. The functional is PBE.

```
data_NdHo5Er5
_chemical_formula_sum 'Nd1 Ho5 Er5'
_symmetry_space_group_name_H-M 'P -1'
_symmetry_Int_Tables_number 2
_cell_length_a 6.7750
_cell_length_b 6.9413
_cell_length_c 8.2464
_cell_angle_alpha 76.52
_cell_angle_beta 77.02
_cell_angle_gamma 72.92
loop_
_symmetry_equiv_pos_as_xyz
'x,y,z'
'-x,-y,-z'
loop_
_atom_site_label
_atom_site_type_symbol
_atom_site_fract_x
_atom_site_fract_y
_atom_site_fract_z
Nd1 Nd 0.0000 0.0000 0.0000
Ho1 Ho 0.0000 0.5000 0.0000
Ho2 Ho 0.1578 0.6286 0.3585
Ho3 Ho 0.3239 0.7640 0.6556
Er1 Er 0.2106 0.1378 0.3182
Er2 Er 0.3534 0.2499 0.7150
Er3 Er 0.5000 0.5000 0.0000
```

Properties
Mass density, kg/m³: 8435
Size of the total moment, μB/f.u.: 0.0

=====

Ordering by calculated energy gives the sequence x), w), with the first entry being the most stable.